1.
Li2Pu3NpS6 | GGA-PBE | optimized geometry

Cell lengths 10.5852, 10.5852, 6.8009 Å; angles 106.05, 106.05, 20.98 degrees
Last column: nearest neighbours and their distance in Å.
Element x y z (fractional)
Li (0.1821, 0.1821, 0.0007)  5 S 2.53-2.74
Li (0.8179, 0.8179, 0.9993)  5 S 2.53-2.74
Pu (0.3329, 0.3329, 0.4822)  6 S 2.73-2.93
Pu (0.5000, 0.5000, 0.5000)  6 S 2.72-2.89
Pu (0.6671, 0.6671, 0.5178)  6 S 2.73-2.93
Np (0.5000, 0.5000, 0.0000)  6 S 2.73-2.87
S (0.0651, 0.0651, 0.3043)  2 Np 2.87, 4 Pu 2.89-2.93
S (0.2501, 0.2501, 0.7354)  3 Li 2.59-2.74, 3 Pu 2.73-2.76
S (0.3933, 0.3933, 0.1592)  2 Li 2.53, 2 Pu 2.72-2.82, 1 Np 2.73
S (0.6067, 0.6067, 0.8408)  2 Li 2.53, 2 Pu 2.72-2.82, 1 Np 2.73
S (0.7499, 0.7499, 0.2646)  3 Li 2.59-2.74, 3 Pu 2.73-2.76
S (0.9349, 0.9349, 0.6957)  2 Np 2.87, 4 Pu 2.89-2.93

Properties
Energy relative to the elements, uncorrected   -1.380 eV per atom

2.
CrSbAs2 | GGA-PBE | optimized geometry

Cell lengths 4.5458, 3.8704, 5.0858 Å; angles 90.00, 107.34, 90.00 degrees
Last column: nearest neighbours and their distance in Å.
Element x y z (fractional)
Cr (0.0000, 0.0000, 0.0000)  4 As 2.59, 2 Sb 2.86
Sb (0.5000, 0.0000, 0.5000)  2 Cr 2.86, 4 As 2.92
As (0.2555, 0.5000, 0.8097)  1 As 2.47, 2 Cr 2.59
As (0.7445, 0.5000, 0.1903)  1 As 2.47, 2 Cr 2.59

Properties
Energy relative to the elements, uncorrected   0.119 eV per atom

3.
CsHf2BeRh | GGA-PBE | optimized geometry

Cell lengths 5.0011, 5.0011, 4.2543 Å; angles 90.00, 90.00, 90.00 degrees
Last column: nearest neighbours and their distance in Å.
Element x y z (fractional)
Cs (0.0000, 0.0000, 0.0000)  8 Hf 3.28, 4 Rh 3.54
Hf (0.0000, 0.5000, 0.5000)  2 Be 2.50
Hf (0.5000, 0.0000, 0.5000)  2 Be 2.50
Be (0.5000, 0.5000, 0.5000)  2 Rh 2.13
Rh (0.5000, 0.5000, 0.0000)  2 Be 2.13

Properties
Raw total energy   -5.4906 eV per atom